This record from Alexandria describes a relaxed SmCuGe crystal. The functional is PBE.

Structure (POSCAR):
```
SmCuGe
1.0
-1.7359 1.4007 3.6291
1.8037 -3.8562 -0.1489
3.4034 1.5522 1.0289
Ge Cu Sm
1 1 1
Direct
0.0000 0.0000 0.5000
0.6667 0.3333 0.5000
0.3333 0.6667 0.0000
```

This record from Alexandria describes a relaxed SmCu2Ge2 crystal. The functional is PBE.

Structure (POSCAR):
```
SmCu2Ge2
1.0
3.3703 0.0000 0.0000
0.0000 3.3703 0.0000
-1.6851 -1.6851 9.7979
Sm Cu Ge
1 2 2
Direct
0.0000 0.0000 0.0000
0.7500 0.2500 0.5000
0.2500 0.7500 0.5000
0.8499 0.8499 0.6999
0.1501 0.1501 0.3001
```

This record from Alexandria describes a relaxed Sm2CuGe crystal. The functional is PBE.

Structure (POSCAR):
```
Sm2CuGe
1.0
-1.0212 2.8148 -2.1760
-0.4544 -3.1577 -3.8715
-4.8005 -0.8009 1.2167
Ge Cu Sm
1 1 2
Direct
0.5000 0.0000 0.0000
0.5000 0.5000 0.5000
0.0000 0.0000 0.5000
0.0000 0.5000 0.0000
```

This record from Alexandria describes a relaxed SmCu4Ge2 crystal. The functional is PBE.

Structure (POSCAR):
```
SmCu4Ge2
1.0
-2.0406 -0.6166 -3.3580
6.3489 -1.6897 -3.5478
-0.8765 -7.1802 1.8512
Ge Cu Sm
4 8 2
Direct
0.0000 0.2169 0.7831
0.0000 0.7831 0.2169
0.5000 0.7169 0.7169
0.5000 0.2831 0.2831
0.0000 0.0887 0.3467
0.0000 0.9113 0.6533
0.5000 0.1533 0.5887
0.5000 0.8467 0.4113
0.5000 0.4113 0.8467
0.5000 0.5887 0.1533
0.0000 0.3467 0.0887
0.0000 0.6533 0.9113
0.5000 0.0000 0.0000
0.0000 0.5000 0.5000
```

This record from Alexandria describes a relaxed Sm3Cu4Ge4 crystal. The functional is PBE.

Structure (POSCAR):
```
Sm3Cu4Ge4
1.0
-1.5339 -3.3627 2.1611
4.1899 1.3469 5.0735
-6.2604 5.1697 -0.6506
Ge Cu Sm
4 4 3
Direct
0.7832 0.2834 0.5664
0.2168 0.7166 0.4336
0.5001 0.8103 0.0003
0.4999 0.1897 0.9997
0.6667 0.4805 0.3341
0.3328 0.1455 0.6651
0.3333 0.5195 0.6659
0.6672 0.8545 0.3349
0.8688 0.8683 0.7372
0.1312 0.1317 0.2628
0.0000 0.5000 0.0000
```

This record from Alexandria describes a relaxed SmCuGe crystal. The functional is PBE.

Structure (POSCAR):
```
SmCuGe
1.0
-1.0772 -2.6160 -3.4686
2.7545 -3.2965 -1.2572
-1.1566 -4.2686 0.6905
Ge Cu Sm
1 1 1
Direct
0.0000 0.0000 0.0000
0.2500 0.2500 0.2500
0.5000 0.5000 0.5000
```

| no. | magnetic moment (μB/atom) | formation energy from the elements (eV/atom) |
| --- | --- | --- |
| 1 | 0.000 | -0.634 |
| 2 | 0.135 | 0.285 |
| 3 | 0.000 | -0.445 |
| 4 | 0.000 | -0.321 |
| 5 | 0.000 | -0.623 |
| 6 | 0.000 | -0.551 |